CsTeOF2, optimized geometry, DFT GGA-PBE; symmetry = P4/mmm (123); calculated total energy = -4.236 eV/atom; volume = 102 Å³/cell; crystal system = tetragonal; E_form (uncorrected) = -1696 meV/atom
1.0
4.945 0.000 0.000
0.000 4.945 0.000
0.000 0.000 4.156
Cs Te O F
1 1 1 2
Direct
0.500 0.500 0.500
0.000 0.000 0.000
0.000 0.000 0.500
0.000 0.500 0.000
0.500 0.000 0.000

Zr4Fe3, optimized geometry, DFT GGA-PBE; formation enthalpy at 0 K = -0.026 eV/atom; symmetry = I4/mmm (139); calculated total energy = -8.537 eV/atom; volume = 124 Å³/cell; crystal system = tetragonal
1.0
-1.597 1.597 12.147
1.597 -1.597 12.147
1.597 1.597 -12.147
Zr Fe
4 3
Direct
0.844 0.844 0.000
0.565 0.565 0.000
0.435 0.435 0.000
0.156 0.156 0.000
0.000 0.000 0.000
0.725 0.725 0.000
0.275 0.275 0.000